Entry 1:
Density functional theory data (PBE) for a relaxed structure of PmAs2Au.

Values from the calculation:
Density of states at the Fermi level (states/eV per cell): 4.90
Symmetry: Fm-3m, No. 225
Energy relative to the elements (eV/atom): -0.402
ΔE to the lowest computed polymorph (meV per atom): 352

a = 4.9534 Å, b = 4.9534 Å, c = 4.9534 Å
α = 60.00°, β = 60.00°, γ = 60.00°
Fractional coordinates of all 4 atoms:
Pm: 0.0000 0.0000 0.0000
As: 0.2500 0.2500 0.2500
As: 0.7500 0.7500 0.7500
Au: 0.5000 0.5000 0.5000

---

Entry 2:
Density functional theory data (PBE) for a relaxed structure of Ta2CdCl.

Values from the calculation:
Density of states at the Fermi level (states/eV per cell): 3.03
Symmetry: P-1, No. 2
Formation energy without anion corrections (eV/f.u.): 1.356
ΔE to the lowest computed polymorph (meV per atom): 405

a = 2.9053 Å, b = 5.2810 Å, c = 5.7469 Å
α = 117.21°, β = 104.51°, γ = 90.23°
Fractional coordinates of all 4 atoms:
Ta: 0.2199 0.2221 0.4439
Ta: 0.7801 0.7779 0.5561
Cd: 0.0000 0.5000 0.0000
Cl: 0.5000 0.0000 0.0000

---

Entry 3:
Density functional theory data (PBE) for a relaxed structure of K2RuPb.

Values from the calculation:
Density of states at the Fermi level (states/eV per cell): 2.52
Symmetry: C2/m, No. 12
Energy relative to the elements (eV/atom): 0.763

a = 6.4243 Å, b = 6.4243 Å, c = 3.2903 Å
α = 90.20°, β = 90.20°, γ = 126.29°
Fractional coordinates of all 4 atoms:
K: 0.0000 0.5000 0.0000
K: 0.5000 0.0000 0.0000
Ru: 0.0000 0.0000 0.5000
Pb: 0.5000 0.5000 0.5000

---

no.,DFT total energy (eV/atom),total magnetization (μB/f.u.),calculated volume (Å³/f.u.)
1,-4.734,0.00,85.9
2,-6.278,0.00,75.2
3,-3.031,1.17,109.5